## SiAs2OsBr (SCAN)

Data for a crystal of SiAs2OsBr relaxed with PBEsol.

a = 4.9857 Å, b = 4.9857 Å, c = 4.5230 Å
α = 90.00°, β = 90.00°, γ = 90.00°
Fractional positions:
Si 0.0000 0.0000 0.0000
As 0.0000 0.5000 0.5000
As 0.5000 0.0000 0.5000
Os 0.5000 0.5000 0.0000
Br 0.5000 0.5000 0.5000

For the magnetic moment, the calculation gives 0.0 μB/cell. As for the raw formation energy: 2.188 eV per atom.